(1)
Entry from the Alexandria database: a geometry-optimized RbZrB structure (PBE).

Geometry as extended XYZ:
```
6
Lattice="4.538 -0.008 0.013 3.201 12.778 -0.009 -1.481 0.755 3.266" Properties=species:S:1:pos:R:3 pbc="T T T"
Rb 3.246 5.188 2.606
B 4.358 8.241 0.343
B 5.540 9.355 0.624
Rb 1.957 0.393 1.667
Zr 3.147 9.994 1.444
Zr 0.732 8.364 2.776
```

Summary:
* magnetization: 0.099 μB per atom
* V: 190 Å³/cell
* space-group type: P1
* energy of formation: 127 meV/atom

=====

(2)
Entry from the Alexandria database: a geometry-optimized Sr2Cd4Hg structure (PBE).

Geometry as extended XYZ:
```
14
Lattice="-5.885 -2.718 -2.898 3.584 -3.981 -3.544 1.158 -5.350 7.181" Properties=species:S:1:pos:R:3 pbc="T T T"
Sr -0.303 -1.662 -1.350
Sr -3.444 -6.616 1.039
Cd -0.665 -4.260 1.203
Cd -1.963 -8.009 4.101
Cd 0.335 -7.026 -3.282
Cd 0.235 -6.926 2.326
Sr 2.301 -5.433 -0.301
Cd 0.820 -4.041 -3.363
Sr -0.840 -10.387 2.088
Cd -0.478 -7.790 -0.465
Hg 3.206 -7.069 2.452
Cd -1.378 -5.123 -1.588
Cd -1.478 -5.024 4.020
Hg -4.349 -4.981 -1.714
```

Summary:
* magnetization: 0.000 μB per atom
* V: 403 Å³/cell
* space-group type: P2_1/m
* energy of formation: -305 meV/atom